{"formula": "ScCr2Ga2", "functional": "PBE", "state": "optimized geometry", "cell": [[3.593, 0.000, 0.000], [0.000, 3.593, 0.000], [1.797, 1.797, 5.949]], "species": ["Sc", "Cr", "Cr", "Ga", "Ga"], "frac_coords": [[0.000, 0.000, 0.000], [0.750, 0.250, 0.500], [0.250, 0.750, 0.500], [0.396, 0.396, 0.207], [0.604, 0.604, 0.793]], "formation_energy_ev_per_atom": -0.13, "n_ef_per_ev_fu": 2.131, "e_tot_ev_per_atom": -6.460, "rho_g_cm3": 6.23, "sg": "I4/mmm (139)"}